Record 1
The following is a DFT calculation (PBE) of a relaxed structure of TbSe2O8.

Properties
- formation energy (no corrections) (eV per atom) = -1.16

The structure in POSCAR format:
```
TbSe2O8
1.0
6.562 0.000 0.000
0.000 6.562 0.000
-3.281 -3.281 4.641
O Se Tb
8 2 1
direct
0.647 0.353 0.706 O
0.941 0.647 0.294 O
0.647 0.353 0.294 O
0.353 0.647 0.294 O
0.353 0.059 0.706 O
0.353 0.647 0.706 O
0.059 0.353 0.706 O
0.647 0.941 0.294 O
0.250 0.750 0.500 Se
0.750 0.250 0.500 Se
0.500 0.500 0.000 Tb
```

---

Record 2
The following is a DFT calculation (PBE) of a relaxed structure of BeNbCo3.

Properties
- excess energy over the best structure of this formula in the dataset (eV per formula unit) = 0.000

The structure in POSCAR format:
```
BeNbCo3
1.0
-4.227 0.438 -1.059
-1.082 -4.835 2.319
-0.271 4.583 2.975
Co Nb Be
6 2 2
direct
0.750 0.632 0.816 Co
0.750 0.184 0.368 Co
0.250 0.816 0.632 Co
0.250 0.368 0.184 Co
0.750 0.184 0.816 Co
0.250 0.816 0.184 Co
0.250 0.334 0.666 Nb
0.750 0.666 0.334 Nb
0.000 0.000 0.000 Be
0.500 0.000 0.000 Be
```

---

Record 3
The following is a DFT calculation (PBE) of a relaxed structure of CeHoSe2N.

Properties
- formation energy (no corrections) (eV per atom) = -1.71

The structure in POSCAR format:
```
CeHoSe2N
1.0
-2.357 -0.504 3.191
3.226 -0.570 2.293
0.603 14.271 2.698
Ce Se N Ho
2 4 2 2
direct
0.500 0.000 0.578 Ce
0.000 0.500 0.422 Ce
0.500 0.000 0.911 Se
0.500 0.000 0.306 Se
0.000 0.500 0.089 Se
0.000 0.500 0.694 Se
0.000 0.000 0.500 N
0.500 0.500 0.500 N
0.500 0.000 0.125 Ho
0.000 0.500 0.875 Ho
```

---

Number 1: calculated total energy -64.02 eV per formula unit, density 3.7 g/cm3. Number 2: calculated total energy -35.23 eV per formula unit, density 8.2 g/cm3. Number 3: calculated total energy -34.36 eV per formula unit, density 6.8 g/cm3.